# CoMo2OsN PBE relaxed
# - Formation energy without anion corrections: -0.049 eV/f.u.
# - Density of states at the Fermi level: 0.76 states/eV/atom
# - Total magnetization: 0.0 Bohr magnetons per cell
data_CoMo2OsN
_chemical_formula_sum 'Co1 Mo2 Os1 N1'
_symmetry_space_group_name_H-M 'P 4/m m m'
_symmetry_Int_Tables_number 123
_symmetry_space_group_name_Hall '-P 4 2'
_cell_length_a 4.084
_cell_length_b 4.084
_cell_length_c 3.786
_cell_angle_alpha 90.00
_cell_angle_beta 90.00
_cell_angle_gamma 90.00
loop_
_atom_site_label
_atom_site_type_symbol
_atom_site_fract_x
_atom_site_fract_y
_atom_site_fract_z
_atom_site_occupancy
Co1 Co 0.000 0.000 0.000 1
Mo1 Mo 0.000 0.500 0.500 1
Os1 Os 0.500 0.500 0.000 1
N1 N 0.000 0.000 0.500 1

# Na3Th3Te8Pd PBE relaxed
# - Formation energy without anion corrections: -14.273 eV/f.u.
# - Density of states at the Fermi level: 0.40 states/eV/atom
# - Total magnetization: 0.0 Bohr magnetons per cell
data_Na3Th3Te8Pd
_chemical_formula_sum 'Na6 Th6 Te16 Pd2'
_symmetry_space_group_name_H-M 'C 1 2/m 1'
_symmetry_Int_Tables_number 12
_symmetry_space_group_name_Hall '-C 2y'
_cell_length_a 15.236
_cell_length_b 8.966
_cell_length_c 9.129
_cell_angle_alpha 90.00
_cell_angle_beta 123.50
_cell_angle_gamma 90.00
loop_
_atom_site_label
_atom_site_type_symbol
_atom_site_fract_x
_atom_site_fract_y
_atom_site_fract_z
_atom_site_occupancy
Na1 Na 0.000 0.000 0.000 1
Na2 Na 0.250 0.250 0.000 1
Th1 Th 0.000 0.500 0.500 1
Th2 Th 0.250 0.250 0.500 1
Te1 Te 0.007 0.248 0.271 1
Te2 Te 0.221 0.000 0.712 1
Te3 Te 0.249 0.500 0.747 1
Pd1 Pd 0.000 0.000 0.500 1